[1]
Compound: CdCoPb2
Source: Alexandria via LeMat-Bulk
Functional: PBE
Structure: optimized geometry

The structure in POSCAR format:
```
CdCoPb2
1.0
-3.0843 1.1316 0.0281
-0.9592 -2.5695 -1.8104
-2.5917 -7.2000 5.4588
Cd Co Pb
1 1 2
Direct
0.5000 0.2500 0.2500
0.5000 0.7500 0.7500
0.0000 0.0549 0.9410
0.0000 0.4451 0.5590
```


[2]
Compound: EuMgCu
Source: Alexandria via LeMat-Bulk
Functional: PBE
Structure: optimized geometry

The structure in POSCAR format:
```
EuMgCu
1.0
3.8734 0.0000 0.0000
0.0000 4.7247 0.0000
0.0000 -2.3623 4.0917
Eu Mg Cu
1 1 1
Direct
0.6667 0.6667 0.3333
0.1667 0.3333 0.6667
0.1667 0.0000 0.0000
```


E_form (meV/atom)
287 -27
D(E_F) (states/eV per cell)
3.04 8.20